MgBiTe2 | Alexandria | GGA-PBE | relaxed; energy above the most stable polymorph in this dataset = 167 meV per atom; symmetry = R-3m, No. 166; final energy = -12.61 eV per cell; formation energy (no corrections) = -0.85 eV/f.u.
1.0
1.936 1.118 9.827
-1.936 1.118 9.827
0.000 -2.236 9.827
Mg Bi Te
1 1 2
Direct
0.000 0.000 0.000 Mg
0.500 0.500 0.500 Bi
0.396 0.396 0.396 Te
0.604 0.604 0.604 Te